PrTlPt4 | PBE | relaxed

E_tot (hartree per atom): -0.2184
Size of the total moment (μB per atom): 0.000
Crystal system: cubic

a b c (Å): 5.483 5.483 5.483
angles (deg): 60.00 60.00 60.00
Fractional positions:
Pr  0.000  0.000  0.000
Tl  0.250  0.250  0.250
Pt  0.126  0.625  0.625
Pt  0.625  0.126  0.625
Pt  0.625  0.625  0.126
Pt  0.625  0.625  0.625